This record from Alexandria describes Tb4InPt2 after structural relaxation. The functional is GGA-PBE.

E_form, eV per atom: -0.770

abc: 4.8097 4.8097 9.9066
angles: 75.95 75.95 60.00
Last column: nearest neighbours and their distance in Å.
Element x y z (fractional)
Tb (0.1137, 0.1137, 0.6588)  3 Pt 3.08, 3 In 3.16
Tb (0.7029, 0.7029, 0.8913)  4 Pt 2.91-2.94
Tb (0.2971, 0.2971, 0.1087)  4 Pt 2.91-2.94
Pt (0.5999, 0.5999, 0.2003)  1 In 2.85, 7 Tb 2.91-3.08
Pt (0.4001, 0.4001, 0.7997)  1 In 2.85, 7 Tb 2.91-3.08
Tb (0.8863, 0.8863, 0.3412)  3 Pt 3.08, 3 In 3.16
In (0.5000, 0.5000, 0.5000)  2 Pt 2.85, 6 Tb 3.16

=====

This record from Alexandria describes TbIn3Pt3 after structural relaxation. The functional is GGA-PBE.

E_form, eV per atom: -0.615

abc: 7.9375 7.9375 7.2715
angles: 56.92 56.92 60.00
Last column: nearest neighbours and their distance in Å.
Element x y z (fractional)
Pt (0.2448, 0.6489, 0.1621)  5 In 2.76-3.03, 2 Tb 2.93-2.96, 2 Pt 2.99
Pt (0.0558, 0.7552, 0.8379)  5 In 2.76-3.03, 2 Tb 2.93-2.96, 2 Pt 2.99
Pt (0.3511, 0.0558, 0.8379)  5 In 2.76-3.03, 2 Tb 2.93-2.96, 2 Pt 2.99
Pt (0.6489, 0.9442, 0.1621)  5 In 2.76-3.03, 2 Tb 2.93-2.96, 2 Pt 2.99
In (0.7736, 0.1141, 0.6488)  5 Pt 2.76-3.03
Pt (0.7552, 0.3511, 0.8379)  5 In 2.76-3.03, 2 Tb 2.93-2.96, 2 Pt 2.99
In (0.1141, 0.4635, 0.6488)  5 Pt 2.76-3.03
Pt (0.9442, 0.2448, 0.1621)  5 In 2.76-3.03, 2 Tb 2.93-2.96, 2 Pt 2.99
Tb (0.6661, 0.6661, 0.0017)  6 Pt 2.93-2.96, 6 In 3.26-3.28
In (0.2264, 0.8859, 0.3512)  5 Pt 2.76-3.03
In (0.5365, 0.2264, 0.3512)  5 Pt 2.76-3.03
Tb (0.3339, 0.3339, 0.9983)  6 Pt 2.93-2.96, 6 In 3.26-3.28
In (0.4635, 0.7736, 0.6488)  5 Pt 2.76-3.03
In (0.8859, 0.5365, 0.3512)  5 Pt 2.76-3.03

=====

This record from Alexandria describes Tb5In4Pt2 after structural relaxation. The functional is GGA-PBE.

E_form, eV per atom: -0.821

abc: 3.6715 8.1231 18.3178
angles: 90.00 90.00 90.00
Last column: nearest neighbours and their distance in Å.
Element x y z (fractional)
In (0.5000, 0.2896, 0.0677)  1 Pt 3.04, 6 Tb 3.23-3.37, 1 In 3.31
Pt (0.5000, 0.0260, 0.3036)  6 Tb 2.84-2.97, 2 In 2.96-3.04
Tb (0.0000, 0.2433, 0.2204)  4 Pt 2.97
Pt (0.5000, 0.4740, 0.8036)  6 Tb 2.84-2.97, 2 In 2.96-3.04
In (0.5000, 0.7896, 0.4323)  1 Pt 3.04, 6 Tb 3.23-3.37, 1 In 3.31
In (0.5000, 0.2104, 0.5677)  1 Pt 3.04, 6 Tb 3.23-3.37, 1 In 3.31
In (0.5000, 0.0749, 0.8519)  1 Pt 2.96, 1 In 3.31
Tb (0.0000, 0.1152, 0.4154)  2 Pt 2.84
Tb (0.0000, 0.5000, 0.5000)  8 In 3.23-3.33, 2 Tb 3.49
In (0.5000, 0.4251, 0.3519)  1 Pt 2.96, 1 In 3.31
Tb (0.0000, 0.3848, 0.9154)  2 Pt 2.84
Tb (0.0000, 0.8848, 0.5846)  2 Pt 2.84
In (0.5000, 0.5749, 0.6481)  1 Pt 2.96, 1 In 3.31
Pt (0.5000, 0.9740, 0.6964)  6 Tb 2.84-2.97, 2 In 2.96-3.04
In (0.5000, 0.7104, 0.9323)  1 Pt 3.04, 6 Tb 3.23-3.37, 1 In 3.31
Tb (0.0000, 0.2567, 0.7204)  4 Pt 2.97
In (0.5000, 0.9251, 0.1481)  1 Pt 2.96, 1 In 3.31
Pt (0.5000, 0.5260, 0.1964)  6 Tb 2.84-2.97, 2 In 2.96-3.04
Tb (0.0000, 0.7433, 0.2796)  4 Pt 2.97
Tb (0.0000, 0.0000, 0.0000)  8 In 3.23-3.33, 2 Tb 3.49
Tb (0.0000, 0.6152, 0.0846)  2 Pt 2.84
Tb (0.0000, 0.7567, 0.7796)  4 Pt 2.97

=====

This record from Alexandria describes TbInPt6 after structural relaxation. The functional is GGA-PBE.

E_form, eV per atom: -0.695

abc: 4.1015 4.1015 8.1475
angles: 90.00 90.00 90.00
Last column: nearest neighbours and their distance in Å.
Element x y z (fractional)
Pt (0.0000, 0.5000, 0.7439)  2 In 2.86, 8 Pt 2.86-2.93, 2 Tb 2.93
Pt (0.5000, 0.0000, 0.2561)  8 Pt 2.86-2.93, 2 In 2.86, 2 Tb 2.93
Pt (0.5000, 0.0000, 0.7439)  8 Pt 2.86-2.93, 2 In 2.86, 2 Tb 2.93
In (0.0000, 0.0000, 0.5000)  12 Pt 2.86-2.90
Pt (0.5000, 0.5000, 0.0000)  4 Tb 2.90, 8 Pt 2.93
Pt (0.0000, 0.5000, 0.2561)  2 In 2.86, 8 Pt 2.86-2.93, 2 Tb 2.93
Pt (0.5000, 0.5000, 0.5000)  8 Pt 2.86, 4 In 2.90
Tb (0.0000, 0.0000, 0.0000)  12 Pt 2.90-2.93

=====

This record from Alexandria describes TbIn3Pt2 after structural relaxation. The functional is GGA-PBE.

E_form, eV per atom: -0.605

abc: 4.0483 9.5425 11.3477
angles: 108.06 90.00 102.25
Last column: nearest neighbours and their distance in Å.
Element x y z (fractional)
In (0.6258, 0.2516, 0.2002)  4 Pt 2.79-3.05, 3 In 3.08
Pt (0.3637, 0.7274, 0.5261)  6 In 2.65-2.91
In (0.0326, 0.0651, 0.3303)  4 Pt 2.74-2.91, 2 In 2.99
In (0.5000, 0.0000, 0.5000)  2 Pt 2.65
Pt (0.2201, 0.4402, 0.1575)  6 In 2.73-2.88
In (0.9674, 0.9349, 0.6697)  4 Pt 2.74-2.91, 2 In 2.99
Pt (0.6363, 0.2726, 0.4739)  6 In 2.65-2.91
Tb (0.8388, 0.6776, 0.3039)  4 Pt 3.07-3.15
Pt (0.5287, 0.0574, 0.8328)  4 In 2.69-2.79, 2 Tb 2.94
Tb (0.0000, 0.0000, 0.0000)  4 Pt 2.94
In (0.2146, 0.4291, 0.3968)  4 Pt 2.70-2.79
Pt (0.7799, 0.5598, 0.8425)  6 In 2.73-2.88
In (0.7854, 0.5709, 0.6032)  4 Pt 2.70-2.79
Pt (0.4713, 0.9426, 0.1672)  4 In 2.69-2.79, 2 Tb 2.94
In (0.3742, 0.7484, 0.7998)  4 Pt 2.79-3.05, 3 In 3.08
In (0.3237, 0.6474, 0.0331)  4 Pt 2.69-2.88
Tb (0.1612, 0.3224, 0.6961)  4 Pt 3.07-3.15
In (0.6763, 0.3526, 0.9669)  4 Pt 2.69-2.88

=====

This record from Alexandria describes TbIn2Pt2 after structural relaxation. The functional is GGA-PBE.

E_form, eV per atom: -0.771

abc: 4.6834 5.3685 9.0723
angles: 106.04 90.00 90.00
Last column: nearest neighbours and their distance in Å.
Element x y z (fractional)
In (0.7500, 0.6358, 0.4542)  4 Pt 2.69-2.82, 2 In 2.99
In (0.7500, 0.2133, 0.1275)  5 Pt 2.75-2.87
In (0.2500, 0.3642, 0.5458)  4 Pt 2.69-2.82, 2 In 2.99
In (0.2500, 0.7867, 0.8725)  5 Pt 2.75-2.87
Tb (0.7500, 0.1783, 0.7682)  6 Pt 2.96-3.18, 1 In 3.21
Pt (0.7500, 0.1098, 0.4083)  5 In 2.69-2.82, 2 Tb 3.01
Tb (0.2500, 0.8217, 0.2318)  6 Pt 2.96-3.18, 1 In 3.21
Pt (0.2500, 0.8902, 0.5917)  5 In 2.69-2.82, 2 Tb 3.01
Pt (0.2500, 0.3330, 0.9818)  4 In 2.82-2.87, 2 Pt 2.91, 3 Tb 2.96-3.01
Pt (0.7500, 0.6670, 0.0182)  4 In 2.82-2.87, 2 Pt 2.91, 3 Tb 2.96-3.01

=====

This record from Alexandria describes TbIn2Pt2 after structural relaxation. The functional is GGA-PBE.

E_form, eV per atom: -0.790

abc: 4.8148 4.8148 5.5479
angles: 90.00 90.00 60.01
Last column: nearest neighbours and their distance in Å.
Element x y z (fractional)
In (0.8333, 0.3333, 0.6556)  5 Pt 2.69-2.94
Pt (0.8334, 0.3334, 0.1702)  5 In 2.69-2.94, 3 Tb 2.94
Pt (0.1666, 0.6666, 0.8298)  5 In 2.69-2.94, 3 Tb 2.94
In (0.1667, 0.6667, 0.3444)  5 Pt 2.69-2.94
Tb (0.5000, 0.0000, 0.0000)  6 Pt 2.94

=====

This record from Alexandria describes Tb4InPt after structural relaxation. The functional is GGA-PBE.

E_form, eV per atom: -0.669
Excess energy over the best structure of this formula in the dataset, kJ/mol of atoms: 0.0

abc: 9.7622 9.7622 9.7622
angles: 60.00 60.00 60.00
Last column: nearest neighbours and their distance in Å.
Element x y z (fractional)
Pt (0.6067, 0.6067, 0.6067)  6 Tb 2.87-2.88
Tb (0.3986, 0.3986, 0.8043)  3 Pt 2.88
Tb (0.3986, 0.3986, 0.3986)  3 Pt 2.88
Tb (0.9396, 0.5604, 0.5604)  2 Pt 2.87
Tb (0.9396, 0.5604, 0.9396)  2 Pt 2.87
Tb (0.8126, 0.8126, 0.1874)  2 In 3.27, 2 Pt 3.52, 10 Tb 3.52-3.66
Tb (0.3986, 0.8043, 0.3986)  3 Pt 2.88
In (0.4992, 0.1669, 0.1669)  3 In 3.24, 9 Tb 3.27-3.53
Pt (0.6067, 0.6067, 0.1799)  6 Tb 2.87-2.88
Tb (0.5604, 0.9396, 0.5604)  2 Pt 2.87
In (0.1669, 0.1669, 0.1669)  3 In 3.24, 9 Tb 3.27-3.53
In (0.1669, 0.1669, 0.4992)  3 In 3.24, 9 Tb 3.27-3.53
Tb (0.1874, 0.8126, 0.1874)  2 In 3.27, 2 Pt 3.52, 10 Tb 3.52-3.66
Tb (0.1874, 0.1874, 0.8126)  2 In 3.27, 2 Pt 3.52, 10 Tb 3.52-3.66
Tb (0.8126, 0.1874, 0.8126)  2 In 3.27, 2 Pt 3.52, 10 Tb 3.52-3.66
Tb (0.8043, 0.3986, 0.3986)  3 Pt 2.88
Tb (0.5604, 0.9396, 0.9396)  2 Pt 2.87
Pt (0.6067, 0.1799, 0.6067)  6 Tb 2.87-2.88
Tb (0.8126, 0.1874, 0.1874)  2 In 3.27, 2 Pt 3.52, 10 Tb 3.52-3.66
In (0.1669, 0.4992, 0.1669)  3 In 3.24, 9 Tb 3.27-3.53
Tb (0.5604, 0.5604, 0.9396)  2 Pt 2.87
Pt (0.1799, 0.6067, 0.6067)  6 Tb 2.87-2.88
Tb (0.9396, 0.9396, 0.5604)  2 Pt 2.87
Tb (0.1874, 0.8126, 0.8126)  2 In 3.27, 2 Pt 3.52, 10 Tb 3.52-3.66

=====

This record from Alexandria describes TbInPt2 after structural relaxation. The functional is GGA-PBE.

E_form, eV per atom: -0.936

abc: 4.4464 5.6815 6.9647
angles: 110.44 90.00 90.00
Last column: nearest neighbours and their distance in Å.
Element x y z (fractional)
Tb (0.7500, 0.7268, 0.9279)  7 Pt 2.98-3.08
Pt (0.2500, 0.8325, 0.2326)  3 In 2.82-3.01, 3 Pt 2.83-3.10, 4 Tb 2.98-3.08
Pt (0.7500, 0.1622, 0.3212)  4 In 2.79-3.01, 3 Pt 2.83-3.10, 3 Tb 2.98-3.02
Tb (0.2500, 0.2732, 0.0721)  7 Pt 2.98-3.08
In (0.2500, 0.3201, 0.5903)  7 Pt 2.79-3.01
In (0.7500, 0.6799, 0.4097)  7 Pt 2.79-3.01
Pt (0.7500, 0.1675, 0.7674)  3 In 2.82-3.01, 3 Pt 2.83-3.10, 4 Tb 2.98-3.08
Pt (0.2500, 0.8378, 0.6788)  4 In 2.79-3.01, 3 Pt 2.83-3.10, 3 Tb 2.98-3.02

=====

This record from Alexandria describes Tb2In5Pt3 after structural relaxation. The functional is GGA-PBE.

E_form, eV per atom: -0.735

abc: 4.4465 7.3912 13.5847
angles: 90.00 99.42 90.00
Last column: nearest neighbours and their distance in Å.
Element x y z (fractional)
Pt (0.0436, 0.0045, 0.0872)  5 In 2.73-2.86
In (0.7071, 0.3991, 0.4141)  4 Pt 2.75-2.76, 1 In 3.04
In (0.8761, 0.7550, 0.7521)  4 Pt 2.84-2.99
In (0.5983, 0.9060, 0.1965)  3 Pt 2.76-2.87, 1 In 2.97
In (0.2932, 0.4879, 0.5864)  3 Pt 2.76-2.78, 2 In 2.97-3.04
In (0.0534, 0.6195, 0.1067)  4 Pt 2.73-2.86
Pt (0.2291, 0.1929, 0.4582)  7 In 2.76-2.86
Tb (0.5228, 0.2854, 0.0456)  3 Pt 2.92-3.09, 2 In 3.26
In (0.4017, 0.4060, 0.8035)  3 Pt 2.76-2.87, 1 In 2.97
In (0.9466, 0.1195, 0.8933)  4 Pt 2.73-2.86
Tb (0.4772, 0.7854, 0.9544)  3 Pt 2.92-3.09, 2 In 3.26
Tb (0.1760, 0.6940, 0.3520)  4 Pt 3.11-3.38, 8 In 3.22-3.48
In (0.7068, 0.9879, 0.4136)  3 Pt 2.76-2.78, 2 In 2.97-3.04
Pt (0.9564, 0.5045, 0.9128)  5 In 2.73-2.86
In (0.1239, 0.2550, 0.2479)  4 Pt 2.84-2.99
Pt (0.7709, 0.6929, 0.5418)  7 In 2.76-2.86
Pt (0.3897, 0.0206, 0.7795)  6 In 2.75-2.99, 1 Tb 2.92
In (0.2929, 0.8991, 0.5859)  4 Pt 2.75-2.76, 1 In 3.04
Tb (0.8240, 0.1940, 0.6480)  4 Pt 3.11-3.38, 8 In 3.22-3.48
Pt (0.6103, 0.5206, 0.2205)  6 In 2.75-2.99, 1 Tb 2.92

=====

no.,VASP energy (eV/cell),mass density (kg/m³),DOS at the Fermi energy (states/eV per cell)
1,-38.73,9942,6.05
2,-70.54,11737,5.27
3,-110.44,9994,12.28
4,-49.17,17498,7.64
5,-85.67,10956,8.44
6,-52.09,11797,3.71
7,-26.14,11608,2.06
8,-125.25,9548,19.16
9,-46.38,13374,4.03
10,-96.85,11138,10.31